The following is a DFT calculation (GGA-PBE) of an optimized crystal structure of La2CrAg.

Computed properties:
Its calculated total energy is -5.48 eV/atom. The value obtained for the polymorph energy (0 for the lowest one) is 0 meV per atom. The formation energy is 0.42 eV per formula unit.

a = 3.7887 Å, b = 3.7887 Å, c = 7.5688 Å
α = 90.00°, β = 90.00°, γ = 90.00°
Closest atoms and distances in Å follow each position.
Space group P4/mmm (No. 123)
Inequivalent atoms, fractional coordinates:
La (0.0000, 0.0000, 0.2413) (multiplicity 2)  4 Cr 3.24, 4 Ag 3.32
Cr (0.5000, 0.5000, 0.0000) (multiplicity 1)  8 La 3.24
Ag (0.5000, 0.5000, 0.5000) (multiplicity 1)  8 La 3.32